# Tb3MgTc PBE relaxed
data_Tb3MgTc
_space_group_name_H-M_alt 'P 1 21/m 1'
_space_group_IT_number 11
_space_group_name_Hall '-P 2yb'
_cell_length_a 5.557
_cell_length_b 6.631
_cell_length_c 7.427
_cell_angle_alpha 90.00
_cell_angle_beta 103.76
_cell_angle_gamma 90.00
loop_
_atom_site_label
_atom_site_type_symbol
_atom_site_fract_x
_atom_site_fract_y
_atom_site_fract_z
Tb1 Tb 0.036 0.001 0.229
Tb2 Tb 0.406 0.250 0.605
Mg1 Mg 0.500 0.250 0.086
Tc1 Tc 0.177 0.750 0.546
# size of the total moment	0.00	μB per cell
# uncorrected energy	-5.186	eV/atom